Record 1
## LaSi2 (SCAN)

Data for a crystal of LaSi2 relaxed with PBEsol.

Calculated values
Energy relative to the elements, uncorrected (eV/atom): -0.6704
Symmetry: I4_1/amd

The structure in POSCAR format:
```
LaSi2
1.0
-4.0415 0.8161 -1.1527
0.6215 -2.1100 -3.6729
-0.3274 -5.1916 5.4222
Si La
4 2
Cartesian
-1.6907 -4.8452 2.4974
-3.3860 -3.5047 1.4404
-2.0566 -1.6404 -1.9007
-2.6928 -1.5178 0.4163
0.0000 0.0000 0.0000
-0.7079 -3.9743 -0.3317
```

***

Record 2
## CdPbAu2 (SCAN)

Data for a crystal of CdPbAu2 relaxed with PBEsol.

Calculated values
Symmetry: P4mm
Calculated formation energy (eV per atom): -0.0314

The structure in POSCAR format:
```
CdPbAu2
1.0
-2.8884 1.8604 -0.5972
0.4096 -0.4657 -3.4317
-3.7917 -5.7803 0.3319
Cd Au Pb
1 2 1
Cartesian
-1.7073 -2.6027 0.1495
-0.1128 -0.1719 0.0099
-2.1582 -0.7032 -1.9340
-4.1883 -3.7980 -1.7563
```

***

What did the second record say?
## CdPbAu2 (SCAN)

Data for a crystal of CdPbAu2 relaxed with PBEsol.

Calculated values
Symmetry: P4mm
Calculated formation energy (eV per atom): -0.0314

The structure in POSCAR format:
```
CdPbAu2
1.0
-2.8884 1.8604 -0.5972
0.4096 -0.4657 -3.4317
-3.7917 -5.7803 0.3319
Cd Au Pb
1 2 1
Cartesian
-1.7073 -2.6027 0.1495
-0.1128 -0.1719 0.0099
-2.1582 -0.7032 -1.9340
-4.1883 -3.7980 -1.7563
```